Density functional theory data (GGA-PBE) for a relaxed structure of InSiRh2.

a b c (Å): 8.507 8.507 8.507
angles (deg): 20.43 20.43 20.43
Element x y z (fractional)
Rh1 0.242 0.242 0.242
Si1 0.511 0.511 0.511
Rh2 0.998 0.998 0.998
In1 0.748 0.748 0.748

Values from the calculation:
- calculated density (g/cm³) = 8.8
- symmetry = R3m
- size of the total moment (μB/f.u.) = 0.00
- energy relative to the elements, uncorrected (eV/f.u.) = -0.188